This record from Alexandria describes a relaxed AsRuBr2 crystal. The functional is PBE-GGA.

The structure in extended XYZ format:
```
4
Lattice="3.121 0.000 0.000 0.000 3.121 0.000 0.000 0.000 9.318" Properties=species:S:1:pos:R:3 pbc="T T T"
As 0.000 0.000 0.000
Ru 0.000 0.000 4.659
Br 1.560 1.560 2.976
Br 1.560 1.560 6.343
```

Properties
* total magnetization: 0.4225 μB/atom
* distance to the lowest polymorph of the same formula: 898 meV per atom
* uncorrected energy: -14.21 eV per cell

This record from Alexandria describes a relaxed AsRu2Br crystal. The functional is PBE-GGA.

The structure in extended XYZ format:
```
8
Lattice="3.094 0.000 0.000 0.000 3.631 0.000 0.000 0.000 12.865" Properties=species:S:1:pos:R:3 pbc="T T T"
As 0.000 0.000 0.000
As 1.547 1.815 6.432
Ru 0.000 0.000 5.606
Ru 0.000 1.815 1.508
Ru 1.547 0.000 7.940
Ru 1.547 1.815 12.039
Br 0.000 1.815 9.716
Br 1.547 0.000 3.283
```

Properties
* total magnetization: 0.0000 μB/atom
* distance to the lowest polymorph of the same formula: 105 meV per atom
* uncorrected energy: -47.37 eV per cell

This record from Alexandria describes a relaxed AsRu2Br crystal. The functional is PBE-GGA.

The structure in extended XYZ format:
```
4
Lattice="3.049 0.000 0.000 0.000 3.713 0.000 -1.179 0.000 6.626" Properties=species:S:1:pos:R:3 pbc="T T T"
As 0.000 0.000 0.000
Ru 0.823 1.856 1.177
Ru 1.048 1.856 5.448
Br 0.935 0.000 3.313
```

Properties
* total magnetization: 0.0000 μB/atom
* distance to the lowest polymorph of the same formula: 244 meV per atom
* uncorrected energy: -23.13 eV per cell

This record from Alexandria describes a relaxed AsRu4Br crystal. The functional is PBE-GGA.

The structure in extended XYZ format:
```
6
Lattice="0.000 3.712 3.712 3.712 0.000 3.712 3.712 3.712 0.000" Properties=species:S:1:pos:R:3 pbc="T T T"
As 0.000 0.000 0.000
Ru 2.781 2.781 2.781
Ru 4.643 4.643 2.781
Ru 4.643 2.781 4.643
Ru 2.781 4.643 4.643
Br 5.568 5.568 5.568
```

Properties
* total magnetization: 0.7429 μB/atom
* uncorrected energy: -37.09 eV per cell

This record from Alexandria describes a relaxed AsRuBr2 crystal. The functional is PBE-GGA.

The structure in extended XYZ format:
```
4
Lattice="3.067 0.000 0.000 0.000 3.067 0.000 0.000 0.000 10.011" Properties=species:S:1:pos:R:3 pbc="T T T"
As 0.000 0.000 0.000
Ru 1.533 1.533 8.672
Br 0.000 0.000 6.760
Br 1.533 1.533 2.916
```

Properties
* total magnetization: 0.0000 μB/atom
* distance to the lowest polymorph of the same formula: 339 meV per atom
* uncorrected energy: -16.44 eV per cell

This record from Alexandria describes a relaxed AsRu2Br crystal. The functional is PBE-GGA.

The structure in extended XYZ format:
```
12
Lattice="3.090 0.000 0.000 -1.545 2.676 0.000 0.000 0.000 23.377" Properties=species:S:1:pos:R:3 pbc="T T T"
As 0.000 0.000 0.000
As 0.000 1.784 15.585
As 1.545 0.892 7.792
Ru 0.000 0.000 6.015
Ru 0.000 0.000 17.362
Ru 0.000 1.784 9.570
Ru 0.000 1.784 21.600
Ru 1.545 0.892 1.777
Ru 1.545 0.892 13.808
Br 0.000 0.000 11.689
Br 0.000 1.784 3.896
Br 1.545 0.892 19.481
```

Properties
* total magnetization: 0.0000 μB/atom
* distance to the lowest polymorph of the same formula: 158 meV per atom
* uncorrected energy: -70.41 eV per cell

This record from Alexandria describes a relaxed AsRuBr2 crystal. The functional is PBE-GGA.

The structure in extended XYZ format:
```
4
Lattice="5.075 0.000 0.000 0.000 3.708 0.000 -2.529 0.000 4.984" Properties=species:S:1:pos:R:3 pbc="T T T"
As 0.000 0.000 0.000
Ru 2.545 1.854 3.576
Br 0.008 1.854 3.097
Br 2.545 0.000 1.520
```

Properties
* total magnetization: 0.0001 μB/atom
* distance to the lowest polymorph of the same formula: 90 meV per atom
* uncorrected energy: -17.44 eV per cell

This record from Alexandria describes a relaxed AsRu2Br crystal. The functional is PBE-GGA.

The structure in extended XYZ format:
```
8
Lattice="2.963 0.000 0.000 0.000 5.591 0.000 0.000 0.000 8.351" Properties=species:S:1:pos:R:3 pbc="T T T"
As 0.000 0.000 0.000
As 1.481 2.795 4.176
Ru 0.000 2.795 2.257
Ru 0.000 2.795 6.094
Ru 1.481 0.000 1.919
Ru 1.481 0.000 6.432
Br 0.000 0.000 4.176
Br 1.481 2.795 0.000
```

Properties
* total magnetization: 0.0000 μB/atom
* distance to the lowest polymorph of the same formula: 456 meV per atom
* uncorrected energy: -44.55 eV per cell

This record from Alexandria describes a relaxed AsRu2Br crystal. The functional is PBE-GGA.

The structure in extended XYZ format:
```
4
Lattice="4.485 0.000 0.000 0.000 4.485 0.000 0.000 0.000 3.109" Properties=species:S:1:pos:R:3 pbc="T T T"
As 0.000 0.000 0.000
Ru 0.000 2.243 1.554
Ru 2.243 0.000 1.554
Br 2.243 2.243 0.000
```

Properties
* total magnetization: 0.0014 μB/atom
* distance to the lowest polymorph of the same formula: 398 meV per atom
* uncorrected energy: -22.51 eV per cell

This record from Alexandria describes a relaxed AsRu2Br crystal. The functional is PBE-GGA.

The structure in extended XYZ format:
```
4
Lattice="3.093 0.000 0.000 0.000 3.093 0.000 0.000 0.000 6.730" Properties=species:S:1:pos:R:3 pbc="T T T"
As 0.000 0.000 0.000
Ru 1.547 1.547 1.387
Ru 1.547 1.547 5.344
Br 0.000 0.000 3.365
```

Properties
* total magnetization: 0.0000 μB/atom
* distance to the lowest polymorph of the same formula: 202 meV per atom
* uncorrected energy: -23.29 eV per cell

This record from Alexandria describes a relaxed AsRu2Br crystal. The functional is PBE-GGA.

The structure in extended XYZ format:
```
16
Lattice="6.298 0.000 0.000 0.000 6.298 0.000 0.000 0.000 6.298" Properties=species:S:1:pos:R:3 pbc="T T T"
As 0.000 0.000 0.000
As 0.000 3.149 3.149
As 3.149 0.000 3.149
As 3.149 3.149 0.000
Ru 1.575 1.575 1.575
Ru 1.575 1.575 4.724
Ru 1.575 4.724 1.575
Ru 1.575 4.724 4.724
Ru 4.724 1.575 1.575
Ru 4.724 1.575 4.724
Ru 4.724 4.724 1.575
Ru 4.724 4.724 4.724
Br 0.000 0.000 3.149
Br 0.000 3.149 0.000
Br 3.149 0.000 0.000
Br 3.149 3.149 3.149
```

Properties
* total magnetization: 0.0000 μB/atom
* distance to the lowest polymorph of the same formula: 381 meV per atom
* uncorrected energy: -90.31 eV per cell

This record from Alexandria describes a relaxed As4RuBr crystal. The functional is PBE-GGA.

The structure in extended XYZ format:
```
6
Lattice="0.000 4.038 4.038 4.038 0.000 4.038 4.038 4.038 0.000" Properties=species:S:1:pos:R:3 pbc="T T T"
As 0.905 0.905 0.905
As 3.133 3.133 0.905
As 3.133 0.905 3.133
As 0.905 3.133 3.133
Ru 4.038 4.038 4.038
Br 6.057 6.057 6.057
```

Properties
* total magnetization: 0.5033 μB/atom
* uncorrected energy: -24.67 eV per cell

This record from Alexandria describes a relaxed AsRu2Br crystal. The functional is PBE-GGA.

The structure in extended XYZ format:
```
4
Lattice="2.950 0.000 0.000 0.000 2.950 0.000 0.000 0.000 8.699" Properties=species:S:1:pos:R:3 pbc="T T T"
As 0.000 0.000 0.000
Ru 0.000 0.000 5.361
Ru 1.475 1.475 7.099
Br 1.475 1.475 3.586
```

Properties
* total magnetization: 0.2115 μB/atom
* distance to the lowest polymorph of the same formula: 95 meV per atom
* uncorrected energy: -23.72 eV per cell

This record from Alexandria describes a relaxed AsRu2Br crystal. The functional is PBE-GGA.

The structure in extended XYZ format:
```
4
Lattice="3.051 0.000 0.000 0.000 3.840 0.000 0.000 0.000 6.240" Properties=species:S:1:pos:R:3 pbc="T T T"
As 0.000 0.000 0.000
Ru 0.000 0.000 3.844
Ru 1.526 1.920 5.307
Br 1.526 1.920 2.837
```

Properties
* total magnetization: 0.0000 μB/atom
* distance to the lowest polymorph of the same formula: 161 meV per atom
* uncorrected energy: -23.46 eV per cell

This record from Alexandria describes a relaxed AsRuBr2 crystal. The functional is PBE-GGA.

The structure in extended XYZ format:
```
16
Lattice="6.805 0.000 0.000 0.000 6.805 0.000 0.000 0.000 6.805" Properties=species:S:1:pos:R:3 pbc="T T T"
As 0.000 0.000 0.000
As 0.000 3.403 3.403
As 3.403 0.000 3.403
As 3.403 3.403 0.000
Ru 0.000 0.000 3.403
Ru 0.000 3.403 0.000
Ru 3.403 0.000 0.000
Ru 3.403 3.403 3.403
Br 1.701 1.701 1.701
Br 1.701 1.701 5.104
Br 1.701 5.104 1.701
Br 1.701 5.104 5.104
Br 5.104 1.701 1.701
Br 5.104 1.701 5.104
Br 5.104 5.104 1.701
Br 5.104 5.104 5.104
```

Properties
* total magnetization: 0.3726 μB/atom
* distance to the lowest polymorph of the same formula: 1029 meV per atom
* uncorrected energy: -54.75 eV per cell